DFT (GGA+U) results for a relaxed LiNbFeO4 crystal.

abc: 6.291 6.127 8.826
angles: 90.00 90.00 90.00
Atoms (fractional coordinates):
1 Li 0.009 0.250 0.105
2 Li 0.491 0.750 0.605
3 Li 0.509 0.250 0.395
4 Li 0.991 0.750 0.895
5 Nb 0.210 0.250 0.749
6 Nb 0.290 0.750 0.249
7 Nb 0.710 0.250 0.751
8 Nb 0.790 0.750 0.251
9 Fe 0.000 0.000 0.500
10 Fe 0.000 0.500 0.500
11 Fe 0.500 0.000 0.000
12 Fe 0.500 0.500 0.000
13 O 0.002 0.523 0.245
14 O 0.002 0.977 0.245
15 O 0.215 0.750 0.472
16 O 0.249 0.250 0.530
17 O 0.251 0.750 0.030
18 O 0.285 0.250 0.972
19 O 0.498 0.023 0.745
20 O 0.498 0.477 0.745
21 O 0.502 0.523 0.255
22 O 0.502 0.977 0.255
23 O 0.715 0.750 0.028
24 O 0.749 0.250 0.970
25 O 0.751 0.750 0.470
26 O 0.785 0.250 0.528
27 O 0.998 0.023 0.755
28 O 0.998 0.477 0.755

## Properties
Space-group type: Pnma
V: 12.15 Å³/atom
Electronic total energy: -209.46 eV/cell